Material: ErTh3Bi3
Method: DFT, PBE-GGA
State: relaxed

Cell lengths 6.266, 6.266, 6.266 Å; angles 101.31, 101.31, 101.31 degrees
Positions (direct):
Bi 0.516 0.987 0.987
Bi 0.987 0.516 0.987
Th 0.547 0.175 0.547
Th 0.547 0.547 0.175
Th 0.175 0.547 0.547
Bi 0.987 0.987 0.516
Er 0.039 0.039 0.039

ΔE_f in eV/f.u.: -2.7
Spin magnetization in Bohr magnetons per cell: 0.0
VASP energy in eV/atom: -5.884
D(E_F) in states/eV/cell: 6.01